No. 1
DFT (PBE-GGA) results for a geometry-optimized NbB2Pb structure.

a b c (Å): 5.755 5.755 8.660
angles (deg): 90.00 90.00 90.00
Space group I-42d (No. 122)
One atom of each set of equivalent atoms:
Nb  0.000  0.000  0.000 [4 per cell]
B  0.220  0.250  0.125 [8 per cell]
Pb  0.000  0.000  0.500 [4 per cell]

Energy relative to the elements: 0.98 eV/atom
Raw total energy: -5.80 eV per atom
Fermi-level density of states: 1.8 states/eV/f.u.

***

No. 2
DFT (PBE-GGA) results for a geometry-optimized NbBPb2 structure.

a b c (Å): 7.384 7.384 6.008
angles (deg): 90.00 90.00 90.00
Space group I-42d (No. 122)
One atom of each set of equivalent atoms:
Nb  0.000  0.000  0.000 [4 per cell]
B  0.000  0.000  0.500 [4 per cell]
Pb  0.186  0.250  0.625 [8 per cell]

Energy relative to the elements: 1.11 eV/atom
Raw total energy: -4.93 eV per atom
Fermi-level density of states: 3.5 states/eV/f.u.

***

No. 3
DFT (PBE-GGA) results for a geometry-optimized NbBPb3 structure.

a b c (Å): 5.002 5.002 5.002
angles (deg): 90.00 90.00 90.00
Space group Pm-3m (No. 221)
One atom of each set of equivalent atoms:
Nb  0.000  0.000  0.000 [1 per cell]
B  0.500  0.500  0.500 [1 per cell]
Pb  0.000  0.500  0.500 [3 per cell]

Energy relative to the elements: 1.19 eV/atom
Raw total energy: -4.39 eV per atom
Fermi-level density of states: 5.3 states/eV/f.u.
Offset from the most stable computed form: 0.0000 eV per atom

***

No. 4
DFT (PBE-GGA) results for a geometry-optimized Nb2BPb structure.

a b c (Å): 6.489 6.489 6.489
angles (deg): 90.00 90.00 90.00
Space group Fm-3m (No. 225)
One atom of each set of equivalent atoms:
Nb  0.250  0.250  0.250 [8 per cell]
B  0.000  0.000  0.000 [4 per cell]
Pb  0.000  0.000  0.500 [4 per cell]

Energy relative to the elements: 0.86 eV/atom
Raw total energy: -6.78 eV per atom
Fermi-level density of states: 4.9 states/eV/f.u.
Offset from the most stable computed form: 0.4726 eV per atom

***

No. 5
DFT (PBE-GGA) results for a geometry-optimized NbBPb3 structure.

a b c (Å): 5.509 5.509 5.509
angles (deg): 90.00 90.00 90.00
Space group Pm-3m (No. 221)
One atom of each set of equivalent atoms:
Nb  0.000  0.000  0.000 [1 per cell]
B  0.500  0.500  0.500 [1 per cell]
Pb  0.000  0.000  0.500 [3 per cell]

Energy relative to the elements: 1.38 eV/atom
Raw total energy: -4.19 eV per atom
Fermi-level density of states: 5.5 states/eV/f.u.
Offset from the most stable computed form: 0.1935 eV per atom

***

No. 6
DFT (PBE-GGA) results for a geometry-optimized Nb2BPb structure.

a b c (Å): 6.948 6.948 5.903
angles (deg): 90.00 90.00 90.00
Space group I-42d (No. 122)
One atom of each set of equivalent atoms:
Nb  0.177  0.250  0.125 [8 per cell]
B  0.000  0.000  0.000 [4 per cell]
Pb  0.000  0.000  0.500 [4 per cell]

Energy relative to the elements: 0.38 eV/atom
Raw total energy: -7.25 eV per atom
Fermi-level density of states: 4.0 states/eV/f.u.
Offset from the most stable computed form: 0.0000 eV per atom

***

Copy entry 6 word for word.
DFT (PBE-GGA) results for a geometry-optimized Nb2BPb structure.

a b c (Å): 6.948 6.948 5.903
angles (deg): 90.00 90.00 90.00
Space group I-42d (No. 122)
One atom of each set of equivalent atoms:
Nb  0.177  0.250  0.125 [8 per cell]
B  0.000  0.000  0.000 [4 per cell]
Pb  0.000  0.000  0.500 [4 per cell]

Energy relative to the elements: 0.38 eV/atom
Raw total energy: -7.25 eV per atom
Fermi-level density of states: 4.0 states/eV/f.u.
Offset from the most stable computed form: 0.0000 eV per atom